1.
VASP calculation (PBE) on SrNd2Tl after structural relaxation.

Unit cell a=5.448 b=5.448 c=18.196 alpha=90.00 beta=90.00 gamma=120.00
Sites, in units of the cell vectors:
Sr1 0.000 0.000 0.000
Sr2 0.333 0.667 0.667
Sr3 0.667 0.333 0.333
Nd1 0.000 0.000 0.553
Nd2 0.000 0.000 0.787
Nd3 0.333 0.667 0.220
Nd4 0.333 0.667 0.453
Nd5 0.667 0.333 0.120
Nd6 0.667 0.333 0.887
Tl1 0.000 0.000 0.199
Tl2 0.333 0.667 0.866
Tl3 0.667 0.333 0.532

crystal system: trigonal
energy of formation: 0.24 eV/f.u.

2.
VASP calculation (PBE) on DyPaNiPt after structural relaxation.

Unit cell a=6.908 b=6.908 c=6.908 alpha=90.00 beta=90.00 gamma=90.00
Sites, in units of the cell vectors:
Dy1 0.000 0.000 0.000
Dy2 0.000 0.500 0.500
Dy3 0.500 0.000 0.500
Dy4 0.500 0.500 0.000
Pa1 0.000 0.000 0.500
Pa2 0.000 0.500 0.000
Pa3 0.500 0.000 0.000
Pa4 0.500 0.500 0.500
Ni1 0.250 0.250 0.250
Ni2 0.250 0.750 0.750
Ni3 0.750 0.250 0.750
Ni4 0.750 0.750 0.250
Pt1 0.250 0.250 0.750
Pt2 0.250 0.750 0.250
Pt3 0.750 0.250 0.250
Pt4 0.750 0.750 0.750

crystal system: cubic
energy of formation: -2.28 eV/f.u.

3.
VASP calculation (PBE) on La7TcI12 after structural relaxation.

Unit cell a=10.205 b=10.205 c=10.205 alpha=107.33 beta=107.33 gamma=107.33
Sites, in units of the cell vectors:
La1 0.000 0.000 0.000
La2 0.196 0.397 0.471
La3 0.397 0.471 0.196
La4 0.471 0.196 0.397
La5 0.529 0.804 0.603
La6 0.603 0.529 0.804
La7 0.804 0.603 0.529
Tc1 0.500 0.500 0.500
I1 0.030 0.342 0.112
I2 0.112 0.030 0.342
I3 0.183 0.725 0.575
I4 0.275 0.425 0.817
I5 0.342 0.112 0.030
I6 0.425 0.817 0.275
I7 0.575 0.183 0.725
I8 0.658 0.888 0.970
I9 0.725 0.575 0.183
I10 0.817 0.275 0.425
I11 0.888 0.970 0.658
I12 0.970 0.658 0.888

formation energy from raw total energies: -1.306 eV per atom
crystal system: trigonal

4.
VASP calculation (PBE) on Ac4AgGe after structural relaxation.

Unit cell a=5.420 b=5.420 c=7.732 alpha=90.00 beta=90.00 gamma=90.00
Sites, in units of the cell vectors:
Ac1 0.000 0.500 0.243
Ac2 0.000 0.500 0.757
Ac3 0.500 0.000 0.243
Ac4 0.500 0.000 0.757
Ag1 0.000 0.000 0.500
Ge1 0.500 0.500 0.000

crystal system: tetragonal
energy of formation: -1.03 eV/f.u.